1.
Material: SmCd3Hg3
Method: DFT, PBE
State: optimized geometry

Cell: 5.998 5.998 5.998 Å, 90.00 90.00 90.00°
Fractional positions:
Cd1 0.000 0.500 0.000
Cd2 0.500 0.000 0.000
Cd3 0.000 0.000 0.500
Sm1 0.500 0.500 0.500
Hg1 0.500 0.500 0.000
Hg2 0.500 0.000 0.500
Hg3 0.000 0.500 0.500

Output
Space-group type = No. 221
Size of the total moment = 0.00 μB per formula unit
Offset from the most stable computed form = 22.5 kJ/mol of atoms

=====

2.
Material: Sm3Cd2Hg2
Method: DFT, PBE
State: optimized geometry

Cell: 5.315 5.347 9.264 Å, 83.90 112.18 122.10°
Fractional positions:
Sm1 0.423 0.276 0.706
Sm2 0.577 0.724 0.294
Sm3 0.000 0.000 0.000
Hg1 0.695 0.932 0.639
Hg2 0.305 0.068 0.361
Cd1 0.224 0.640 0.868
Cd2 0.776 0.360 0.132

Output
Space-group type = No. 2
VASP energy = -2.64 eV per atom
Size of the total moment = 0.00 μB per formula unit

=====

3.
Material: Sm2Cd12Hg
Method: DFT, PBE
State: optimized geometry

Cell: 6.326 6.326 18.831 Å, 90.00 90.00 90.00°
Fractional positions:
Cd1 0.667 0.833 0.568
Cd2 0.500 0.500 0.659
Cd3 0.500 0.500 0.804
Cd4 0.833 0.333 0.568
Cd5 0.250 0.750 0.900
Cd6 0.500 0.500 0.196
Cd7 0.500 0.500 0.341
Cd8 0.167 0.333 0.432
Cd9 0.333 0.167 0.568
Cd10 0.750 0.250 0.900
Cd11 0.000 0.000 0.196
Cd12 0.750 0.750 0.900
Cd13 0.000 0.000 0.659
Cd14 0.750 0.750 0.100
Cd15 0.833 0.667 0.432
Cd16 0.750 0.250 0.100
Cd17 0.333 0.833 0.432
Cd18 0.000 0.000 0.341
Cd19 0.667 0.167 0.432
Cd20 0.250 0.750 0.100
Cd21 0.250 0.250 0.100
Cd22 0.167 0.667 0.568
Cd23 0.000 0.000 0.804
Cd24 0.250 0.250 0.900
Hg1 0.000 0.500 0.000
Hg2 0.500 0.000 0.000
Sm1 0.500 0.000 0.258
Sm2 0.000 0.500 0.258
Sm3 0.000 0.500 0.742
Sm4 0.500 0.000 0.742

Output
Space-group type = No. 125
VASP energy = -1.46 eV per atom
Size of the total moment = 0.00 μB per formula unit

=====

4.
Material: Sm4CdHg7
Method: DFT, PBE
State: optimized geometry

Cell: 5.423 9.702 7.215 Å, 78.31 67.92 73.77°
Fractional positions:
Hg1 0.193 0.079 0.534
Hg2 0.639 0.465 0.257
Hg3 0.500 0.000 0.000
Hg4 0.807 0.921 0.466
Hg5 0.920 0.340 0.819
Hg6 0.361 0.535 0.743
Hg7 0.080 0.660 0.181
Sm1 0.578 0.223 0.621
Sm2 0.738 0.682 0.842
Sm3 0.262 0.318 0.158
Sm4 0.422 0.777 0.379
Cd1 0.000 0.000 0.000

Output
Space-group type = No. 12
VASP energy = -2.10 eV per atom
Size of the total moment = 0.00 μB per formula unit

=====

5.
Material: Sm6Cd3Hg
Method: DFT, PBE
State: optimized geometry

Cell: 5.426 9.353 11.926 Å, 108.92 90.00 90.00°
Fractional positions:
Sm1 0.750 0.539 0.914
Sm2 0.250 0.843 0.303
Sm3 0.250 0.134 0.154
Sm4 0.750 0.745 0.500
Sm5 0.250 0.255 0.500
Sm6 0.250 0.091 0.869
Sm7 0.250 0.461 0.086
Sm8 0.750 0.866 0.846
Sm9 0.250 0.662 0.674
Sm10 0.750 0.338 0.326
Sm11 0.750 0.909 0.131
Sm12 0.750 0.157 0.697
Hg1 0.250 0.954 0.590
Hg2 0.750 0.046 0.410
Cd1 0.250 0.770 0.976
Cd2 0.750 0.609 0.215
Cd3 0.250 0.391 0.785
Cd4 0.250 0.530 0.373
Cd5 0.750 0.230 0.024
Cd6 0.750 0.470 0.627

Output
Space-group type = No. 11
VASP energy = -3.39 eV per atom
Size of the total moment = 0.00 μB per formula unit

=====

6.
Material: Sm5CdHg8
Method: DFT, PBE
State: optimized geometry

Cell: 7.918 7.918 7.918 Å, 109.22 109.97 109.22°
Fractional positions:
Hg1 0.284 0.262 0.379
Hg2 0.444 0.585 0.191
Hg3 0.621 0.905 0.882
Hg4 0.606 0.415 0.860
Hg5 0.978 0.095 0.716
Hg6 0.140 0.746 0.556
Hg7 0.809 0.254 0.394
Hg8 0.118 0.738 0.022
Sm1 0.978 0.370 0.114
Sm2 0.500 0.000 0.500
Sm3 0.886 0.864 0.257
Sm4 0.392 0.136 0.022
Sm5 0.743 0.630 0.608
Cd1 0.250 0.500 0.750

Output
Space-group type = No. 82
VASP energy = -2.28 eV per atom
Size of the total moment = 0.00 μB per formula unit

=====

> What is the size of the total moment in the fourth record?

0.00 μB per formula unit